[1]
! SmAl2Pd3 (GGA-PBE, relaxed); values from VASP
! D(E_F): 6.12 states/eV/cell
! energy of formation: -0.8418 eV/atom
&SYSTEM
  ibrav = 0, nat = 12, ntyp = 3
/
ATOMIC_SPECIES
Sm 150.36 Sm.upf
Al 26.98 Al.upf
Pd 106.42 Pd.upf
CELL_PARAMETERS angstrom
5.446 0.000 0.000
0.000 6.419 0.085
0.000 -1.206 6.305
ATOMIC_POSITIONS angstrom
Sm 1.361 1.680 2.059
Sm 4.084 3.533 4.331
Al 2.723 4.742 1.453
Al 0.000 4.742 1.453
Al 0.000 0.471 4.937
Al 2.723 0.471 4.937
Pd 4.084 2.782 0.787
Pd 4.084 0.212 2.883
Pd 1.361 2.431 5.604
Pd 4.084 0.146 0.179
Pd 1.361 5.067 6.211
Pd 1.361 5.001 3.507

=====

[2]
! PmWN3 (GGA-PBE, relaxed); values from VASP
! formation energy without anion corrections: -879 meV/atom
&SYSTEM
  ibrav = 0, nat = 10, ntyp = 3
/
ATOMIC_SPECIES
Pm 145.00 Pm.upf
W 183.84 W.upf
N 14.01 N.upf
CELL_PARAMETERS angstrom
-2.468 2.013 1.452
-1.078 -6.282 2.663
4.340 2.085 4.486
ATOMIC_POSITIONS angstrom
Pm 1.861 0.169 3.067
Pm -0.637 -3.244 3.554
W 0.350 -1.046 6.403
W -1.594 -0.016 1.670
N 0.497 0.131 5.024
N -1.742 -1.192 3.049
N -0.291 1.157 2.259
N 2.020 -2.086 6.466
N 3.544 1.097 4.641
N -0.953 -2.219 5.814

=====

[3]
! Tb5Cd2Ag2 (GGA-PBE, relaxed); values from VASP
! D(E_F): 18.68 states/eV/cell
! energy of formation: -0.1818 eV/atom
&SYSTEM
  ibrav = 0, nat = 18, ntyp = 3
/
ATOMIC_SPECIES
Tb 158.93 Tb.upf
Cd 112.41 Cd.upf
Ag 107.87 Ag.upf
CELL_PARAMETERS angstrom
7.560 0.000 0.000
0.000 7.473 0.000
0.000 -3.737 8.728
ATOMIC_POSITIONS angstrom
Tb 0.000 0.000 0.000
Tb 3.780 3.737 0.000
Tb 6.212 5.108 2.344
Tb 1.348 2.366 2.344
Tb 2.432 6.103 2.344
Tb 5.128 1.371 2.344
Tb 1.348 -1.371 6.384
Tb 6.212 1.371 6.384
Tb 5.128 -2.366 6.384
Tb 2.432 2.366 6.384
Cd 0.000 0.000 3.904
Cd 3.780 3.737 3.904
Cd 0.000 3.737 4.823
Cd 3.780 0.000 4.823
Ag 4.762 6.525 0.000
Ag 2.798 0.949 0.000
Ag 0.982 4.686 0.000
Ag 6.578 2.788 0.000

=====

[4]
! Ce2NpCoN5 (GGA-PBE, relaxed); values from VASP
! D(E_F): 19.08 states/eV/cell
! formation energy without anion corrections: -959 meV/atom
&SYSTEM
  ibrav = 0, nat = 18, ntyp = 4
/
ATOMIC_SPECIES
Ce 140.12 Ce.upf
Np 237.00 Np.upf
Co 58.93 Co.upf
N 14.01 N.upf
CELL_PARAMETERS angstrom
-1.834 -2.771 0.864
1.199 -0.712 -6.564
8.864 -5.185 2.182
ATOMIC_POSITIONS angstrom
Ce 6.477 -7.104 -2.220
Ce 6.145 -3.979 0.280
Ce 2.837 -2.199 -1.032
Ce 0.966 -4.036 -4.074
Np 3.822 -5.316 -2.118
Np 0.251 -0.921 -2.424
Co 7.537 -6.405 2.275
Co 4.283 -4.364 -4.910
N 9.044 -6.705 -2.313
N 7.014 -6.685 0.265
N 7.160 -6.058 -4.238
N 5.962 -4.565 -1.988
N 4.172 -6.133 -3.997
N 3.564 -4.525 -0.128
N 3.589 -3.372 -3.200
N 1.548 -2.890 0.837
N 0.581 -3.118 -1.945
N 0.422 -0.409 -0.417

=====

[5]
! SrBeSe (GGA-PBE, relaxed); values from VASP
! D(E_F): 3.45 states/eV/cell
! formation energy without anion corrections: -60 meV/atom
! excess energy over the best structure of this formula in the dataset: 0.504 eV/atom
&SYSTEM
  ibrav = 0, nat = 3, ntyp = 3
/
ATOMIC_SPECIES
Sr 87.62 Sr.upf
Se 78.96 Se.upf
Be 9.01 Be.upf
CELL_PARAMETERS angstrom
5.063 0.000 0.000
2.531 4.385 0.000
2.531 1.462 4.134
ATOMIC_POSITIONS angstrom
Sr 0.000 0.000 0.000
Se 2.531 1.462 1.033
Be 5.063 2.923 2.067

=====

[6]
! RbCeBr2 (GGA-PBE, relaxed); values from VASP
! D(E_F): 6.23 states/eV/cell
! formation energy without anion corrections: -1189 meV/atom
&SYSTEM
  ibrav = 0, nat = 4, ntyp = 3
/
ATOMIC_SPECIES
Br 79.90 Br.upf
Rb 85.47 Rb.upf
Ce 140.12 Ce.upf
CELL_PARAMETERS angstrom
4.086 0.000 0.000
2.043 3.539 0.000
2.043 1.180 10.912
ATOMIC_POSITIONS angstrom
Br 2.043 1.180 7.447
Br 6.129 3.539 3.465
Rb 0.000 0.000 0.000
Ce 4.086 2.359 5.456

=====

[7]
! Na2Ho3TmTe6 (GGA-PBE, relaxed); values from VASP
! D(E_F): 3.68 states/eV/cell
! formation energy without anion corrections: -1278 meV/atom
&SYSTEM
  ibrav = 0, nat = 12, ntyp = 4
/
ATOMIC_SPECIES
Na 22.99 Na.upf
Ho 164.93 Ho.upf
Tm 168.93 Tm.upf
Te 127.60 Te.upf
CELL_PARAMETERS angstrom
-2.109 3.981 -6.063
2.660 -7.020 -0.838
-6.908 -1.614 2.907
ATOMIC_POSITIONS angstrom
Na 1.065 -3.339 -2.586
Na -0.513 0.301 -4.315
Ho -1.604 -5.958 -0.272
Ho -4.753 1.305 -3.722
Ho -3.178 -2.326 -1.997
Tm 0.000 0.000 0.000
Te -5.537 -1.691 -3.873
Te -1.350 -2.719 -4.491
Te -0.820 -2.962 -0.121
Te -3.973 -5.298 -2.160
Te -5.006 -1.934 0.497
Te -2.384 0.645 -1.834

=====

[8]
! CeScZnPd (GGA-PBE, relaxed); values from VASP
! D(E_F): 7.34 states/eV/cell
! energy of formation: -0.4483 eV/atom
&SYSTEM
  ibrav = 0, nat = 4, ntyp = 4
/
ATOMIC_SPECIES
Sc 44.96 Sc.upf
Zn 65.41 Zn.upf
Pd 106.42 Pd.upf
Ce 140.12 Ce.upf
CELL_PARAMETERS angstrom
4.930 0.000 0.000
2.465 4.269 0.000
2.465 1.423 4.025
ATOMIC_POSITIONS angstrom
Sc 0.000 0.000 0.000
Zn 2.465 1.423 1.006
Pd 7.394 4.269 3.019
Ce 4.930 2.846 2.013

=====

[9]
! KHo2Tl3 (GGA-PBE, relaxed); values from VASP
! D(E_F): 4.02 states/eV/cell
! energy of formation: -0.2384 eV/atom
&SYSTEM
  ibrav = 0, nat = 6, ntyp = 3
/
ATOMIC_SPECIES
K 39.10 K.upf
Ho 164.93 Ho.upf
Tl 204.38 Tl.upf
CELL_PARAMETERS angstrom
3.848 0.000 0.000
0.000 3.848 0.000
0.000 0.000 12.308
ATOMIC_POSITIONS angstrom
K 1.924 1.924 6.154
Ho 1.924 1.924 10.422
Ho 1.924 1.924 1.886
Tl 0.000 0.000 0.000
Tl 0.000 0.000 8.694
Tl 0.000 0.000 3.614

=====

[10]
! MnFe5 (GGA-PBE, relaxed); values from VASP
! D(E_F): 5.10 states/eV/cell
! energy of formation: 0.3343 eV/atom
&SYSTEM
  ibrav = 0, nat = 6, ntyp = 2
/
ATOMIC_SPECIES
Mn 54.94 Mn.upf
Fe 55.84 Fe.upf
CELL_PARAMETERS angstrom
-4.493 -1.258 -0.431
2.964 -2.694 2.430
-0.885 2.024 3.324
ATOMIC_POSITIONS angstrom
Mn 0.000 0.000 0.000
Fe 0.479 -2.215 1.477
Fe -2.007 -1.736 0.523
Fe -2.689 0.383 1.447
Fe 1.039 -0.335 2.877
Fe -1.207 -0.964 2.662

=====

[11]
! PrHo12Co6 (GGA-PBE, relaxed); values from VASP
! D(E_F): 15.29 states/eV/cell
! energy of formation: -0.1443 eV/atom
&SYSTEM
  ibrav = 0, nat = 19, ntyp = 3
/
ATOMIC_SPECIES
Pr 140.91 Pr.upf
Ho 164.93 Ho.upf
Co 58.93 Co.upf
CELL_PARAMETERS angstrom
-5.741 -3.865 4.818
5.314 -5.724 -3.179
4.308 5.550 4.665
ATOMIC_POSITIONS angstrom
Pr 0.000 0.000 0.000
Ho 2.308 2.616 4.884
Ho 1.735 -3.001 0.795
Ho 2.146 -1.038 5.508
Ho 1.572 -6.656 1.420
Ho 4.953 -3.342 -0.563
Ho -0.527 -1.339 3.252
Ho 4.407 -2.700 3.052
Ho -1.073 -0.697 6.867
Ho -2.486 -4.246 3.438
Ho 2.699 0.273 2.300
Ho 1.181 -4.312 4.004
Ho 6.366 0.206 2.866
Co 4.257 0.564 4.409
Co -0.376 -4.604 1.895
Co 3.507 -4.862 1.394
Co 0.374 0.823 4.910
Co -0.882 -2.865 5.375
Co 4.762 -1.174 0.929

=====

[12]
! TmCuNiGe (GGA-PBE, relaxed); values from VASP
! D(E_F): 2.05 states/eV/cell
! energy of formation: -0.3939 eV/atom
&SYSTEM
  ibrav = 0, nat = 4, ntyp = 4
/
ATOMIC_SPECIES
Ni 58.69 Ni.upf
Ge 72.64 Ge.upf
Tm 168.93 Tm.upf
Cu 63.55 Cu.upf
CELL_PARAMETERS angstrom
-0.449 -4.375 0.606
3.531 -2.666 -0.365
1.710 -1.927 3.616
ATOMIC_POSITIONS angstrom
Ni 0.000 0.000 0.000
Ge 1.198 -2.242 0.964
Tm 3.594 -6.726 2.892
Cu 2.396 -4.484 1.928